# 1
First-principles (PBE-GGA) data for a geometry-optimized Tl2Pd2Se structure, as listed in Alexandria via LeMat-Bulk.

## Properties
total moment = 0.0 μB per cell
uncorrected energy = -3.848 eV/atom
energy relative to the elements, uncorrected = -0.13 eV/atom
relative energy among the computed polymorphs = 0.000 eV/atom

abc: 7.1417 7.1417 4.2039
angles: 90.00 90.00 90.00
With the nearest neighbours (Å) after each atom.
Space group P4/mbm (No. 127)
Inequivalent atoms, fractional coordinates:
Tl  0.1606  0.3394  0.0000 [4 per cell]  6 Pd 2.85-3.05
Pd  0.1485  0.6485  0.5000 [4 per cell]  2 Se 2.73, 6 Tl 2.85-3.05, 1 Pd 3.00
Se  0.0000  0.0000  0.5000 [2 per cell]  4 Pd 2.73

---

# 2
First-principles (PBE-GGA) data for a geometry-optimized CaCrNi structure, as listed in Alexandria via LeMat-Bulk.

## Properties
total moment = 12.8 μB per cell
uncorrected energy = -5.493 eV/atom
relative energy among the computed polymorphs = 0.092 eV/atom
E_form = 0.309 eV per atom

abc: 4.2686 10.3113 5.1765
angles: 90.00 90.00 90.00
With the nearest neighbours (Å) after each atom.
Space group Amm2 (No. 38)
Inequivalent atoms, fractional coordinates:
Ca  0.0000  0.0000  0.0000 [2 per cell]  4 Ni 2.88-2.89, 4 Cr 3.11
Ca  0.5000  0.0000  0.4983 [2 per cell]  2 Cr 2.89
Cr  0.5000  0.2197  0.9864 [4 per cell]  4 Ni 2.51-2.52, 2 Cr 2.66
Ni  0.0000  0.2471  0.7356 [4 per cell]  4 Cr 2.51-2.52, 2 Ni 2.59

---

# 3
First-principles (PBE-GGA) data for a geometry-optimized Ce2PuPaBi4 structure, as listed in Alexandria via LeMat-Bulk.

## Properties
total moment = 8.4 μB per cell
uncorrected energy = -6.908 eV/atom
E_form = -0.505 eV per atom

abc: 7.8882 4.5580 7.8960
angles: 90.00 109.42 90.00
With the nearest neighbours (Å) after each atom.
Space group P2/m (No. 10)
Inequivalent atoms, fractional coordinates:
Ce  0.0000  0.0000  0.0000 [1 per cell]  6 Bi 3.26
Ce  0.5000  0.5000  0.0000 [1 per cell]  6 Bi 3.23
Pu  0.0000  0.5000  0.5000 [1 per cell]  6 Bi 3.21
Pa  0.5000  0.0000  0.5000 [1 per cell]  6 Bi 3.18-3.19
Bi  0.2516  0.0000  0.7451 [2 per cell]  1 Pa 3.18, 2 Pu 3.21, 3 Ce 3.23-3.26
Bi  0.2548  0.5000  0.2563 [2 per cell]  2 Pa 3.19, 1 Pu 3.21, 3 Ce 3.23-3.26

---

# 4
First-principles (PBE-GGA) data for a geometry-optimized Hg2BiPdI structure, as listed in Alexandria via LeMat-Bulk.

## Properties
total moment = 0.0 μB per cell
uncorrected energy = -2.293 eV/atom
energy relative to the elements, uncorrected = -0.05 eV/atom

abc: 5.3651 5.3651 5.3150
angles: 90.00 90.00 90.00
With the nearest neighbours (Å) after each atom.
Space group P4/mmm (No. 123)
Inequivalent atoms, fractional coordinates:
Hg  0.0000  0.5000  0.0000 [2 per cell]  2 Pd 2.68
Bi  0.0000  0.0000  0.5000 [1 per cell]  2 Pd 2.66
Pd  0.0000  0.0000  0.0000 [1 per cell]  2 Bi 2.66, 4 Hg 2.68
I  0.5000  0.5000  0.5000 [1 per cell]  8 Hg 3.78, 4 Bi 3.79

---

# 5
First-principles (PBE-GGA) data for a geometry-optimized Sr2Ca3Ac7 structure, as listed in Alexandria via LeMat-Bulk.

## Properties
total moment = 0.0 μB per cell
uncorrected energy = -3.055 eV/atom
E_form = 0.122 eV per atom

abc: 6.3382 4.0360 22.2400
angles: 90.00 97.59 90.00
With the nearest neighbours (Å) after each atom.
Space group P2/m (No. 10)
Inequivalent atoms, fractional coordinates:
Sr  0.1538  0.0000  0.2887 [2 per cell]  5 Ac 3.77-4.15, 2 Sr 4.04
Ca  0.0000  0.0000  0.0000 [1 per cell]  8 Ac 3.57-3.76
Ca  0.3037  0.5000  0.6178 [2 per cell]  6 Ac 4.03-4.13, 2 Ca 4.04, 4 Sr 4.28-4.29
Ac  0.0834  0.5000  0.1335 [2 per cell]  2 Ca 3.57, 4 Ac 3.82-3.84, 2 Sr 3.97
Ac  0.2314  0.0000  0.4597 [2 per cell]  4 Ac 3.63-4.04, 1 Sr 3.77, 2 Ca 4.03
Ac  0.4023  0.0000  0.8329 [2 per cell]  8 Ac 3.82-4.20, 2 Sr 4.15
Ac  0.5000  0.5000  0.0000 [1 per cell]  4 Ca 3.76, 6 Ac 4.04-4.20

---

# 6
First-principles (PBE-GGA) data for a geometry-optimized LiCd12Hg6 structure, as listed in Alexandria via LeMat-Bulk.

## Properties
total moment = 0.0 μB per cell
uncorrected energy = -0.786 eV/atom
E_form = -0.012 eV per atom

abc: 11.1739 11.1739 12.3241
angles: 90.00 90.00 120.00
With the nearest neighbours (Å) after each atom.
Space group R-3 (No. 148, hexagonal axes)
Inequivalent atoms, fractional coordinates:
Li  0.0000  0.0000  0.0000 [3 per cell]  6 Cd 3.00, 6 Hg 3.01
Cd  0.0590  0.8745  0.8068 [18 per cell]  4 Cd 2.95-3.16, 1 Li 3.00, 4 Hg 3.09-3.23
Cd  0.0861  0.2062  0.4039 [18 per cell]  4 Cd 2.95-3.10, 3 Hg 3.01-3.30
Hg  0.0364  0.5728  0.7192 [18 per cell]  1 Li 3.01, 7 Cd 3.01-3.30, 2 Hg 3.21

---

# 7
First-principles (PBE-GGA) data for a geometry-optimized Ba2TbMg12Cd3 structure, as listed in Alexandria via LeMat-Bulk.

## Properties
total moment = 0.0 μB per cell
uncorrected energy = -1.513 eV/atom
E_form = 0.173 eV per atom

abc: 8.8601 8.8601 25.3546
angles: 90.00 90.00 120.00
With the nearest neighbours (Å) after each atom.
Space group R-3m (No. 166, hexagonal axes)
Inequivalent atoms, fractional coordinates:
Ba  0.0000  0.0000  0.0827 [6 per cell]  6 Mg 3.37-3.61
Tb  0.0000  0.0000  0.5000 [3 per cell]  12 Mg 3.10-3.33
Mg  0.0830  0.5415  0.8698 [18 per cell]  4 Mg 3.21-3.33, 1 Tb 3.33, 1 Cd 3.36
Mg  0.1028  0.5514  0.2670 [18 per cell]  2 Cd 2.82, 2 Mg 3.06, 1 Tb 3.10
Cd  0.0000  0.5000  0.0000 [9 per cell]  4 Mg 2.82

---

# 8
First-principles (PBE-GGA) data for a geometry-optimized Sc2TlC structure, as listed in Alexandria via LeMat-Bulk.

## Properties
total moment = 1.2 μB per cell
uncorrected energy = -5.247 eV/atom
relative energy among the computed polymorphs = 1.325 eV/atom
E_form = 0.817 eV per atom

abc: 3.4597 3.4597 27.0352
angles: 90.00 90.00 120.00
With the nearest neighbours (Å) after each atom.
Space group R-3m (No. 166, hexagonal axes)
Inequivalent atoms, fractional coordinates:
Sc  0.0000  0.0000  0.0768 [6 per cell]  1 C 2.08
Tl  0.0000  0.0000  0.5000 [3 per cell]  6 Sc 3.14, 6 Tl 3.46
C  0.0000  0.0000  0.0000 [3 per cell]  2 Sc 2.08

---

# 9
First-principles (PBE-GGA) data for a geometry-optimized HgTe3 structure, as listed in Alexandria via LeMat-Bulk.

## Properties
total moment = 0.0 μB per cell
uncorrected energy = -2.071 eV/atom
energy relative to the elements, uncorrected = 0.36 eV/atom

abc: 4.8576 4.8576 4.8576
angles: 90.00 90.00 90.00
With the nearest neighbours (Å) after each atom.
Space group Pm-3m (No. 221)
Inequivalent atoms, fractional coordinates:
Hg  0.0000  0.0000  0.0000 [1 per cell]  12 Te 3.43
Te  0.0000  0.5000  0.5000 [3 per cell]  4 Hg 3.43, 8 Te 3.43

---

# 10
First-principles (PBE-GGA) data for a geometry-optimized KTe2W structure, as listed in Alexandria via LeMat-Bulk.

## Properties
total moment = 12.1 μB per cell
uncorrected energy = -3.943 eV/atom
energy relative to the elements, uncorrected = 1.14 eV/atom
relative energy among the computed polymorphs = 1.193 eV/atom

abc: 7.6021 7.6021 7.6021
angles: 90.00 90.00 90.00
With the nearest neighbours (Å) after each atom.
Space group F-43m (No. 216)
Inequivalent atoms, fractional coordinates:
K  0.0000  0.0000  0.0000 [4 per cell]  4 W 3.29, 4 Te 3.29
Te  0.0000  0.0000  0.5000 [4 per cell]  4 Te 3.29, 4 W 3.29
Te  0.2500  0.2500  0.2500 [4 per cell]  4 K 3.29, 4 Te 3.29
W  0.2500  0.2500  0.7500 [4 per cell]  4 K 3.29, 4 Te 3.29

---

# 11
First-principles (PBE-GGA) data for a geometry-optimized Ac2Pr7Nd2 structure, as listed in Alexandria via LeMat-Bulk.

## Properties
total moment = 0.0 μB per cell
uncorrected energy = -4.417 eV/atom
relative energy among the computed polymorphs = 0.099 eV/atom
E_form = 0.239 eV per atom

abc: 14.3286 7.2048 8.9489
angles: 90.00 113.34 90.00
With the nearest neighbours (Å) after each atom.
Space group C2/m (No. 12)
Inequivalent atoms, fractional coordinates:
Ac  0.0000  0.2474  0.0000 [4 per cell]  2 Ac 3.56-3.64, 4 Pr 3.70-3.95, 2 Nd 3.86
Pr  0.0000  0.0000  0.5000 [2 per cell]  2 Nd 3.05
Pr  0.0741  0.5000  0.3902 [4 per cell]  1 Nd 3.32, 1 Pr 3.42, 2 Ac 3.70
Pr  0.1967  0.2460  0.7908 [8 per cell]  1 Nd 3.42, 5 Pr 3.44-3.78
Nd  0.1768  0.0000  0.3922 [4 per cell]  2 Pr 3.05-3.32

---

# 12
First-principles (PBE-GGA) data for a geometry-optimized Na2MnAg2Cl6 structure, as listed in Alexandria via LeMat-Bulk.

## Properties
total moment = 10.0 μB per cell
uncorrected energy = -3.700 eV/atom
energy relative to the elements, uncorrected = -1.10 eV/atom

abc: 6.9838 11.9622 6.8204
angles: 90.00 100.11 90.00
With the nearest neighbours (Å) after each atom.
Space group C2/m (No. 12)
Inequivalent atoms, fractional coordinates:
Na  0.0000  0.1646  0.0000 [4 per cell]  6 Cl 2.81-2.88
Mn  0.0000  0.5000  0.0000 [2 per cell]  6 Cl 2.50-2.60
Ag  0.0000  0.3658  0.5000 [4 per cell]  2 Cl 2.49
Cl  0.1862  0.3438  0.2220 [8 per cell]  1 Ag 2.49, 1 Mn 2.60
Cl  0.2399  0.0000  0.2089 [4 per cell]  1 Mn 2.50